PBE with a Hubbard U Li2VO2F, optimized geometry; mass density = 3.52 g/cm3; DOS at the Fermi energy = 0.10 states/eV per atom; uncorrected energy = -6.15 eV per atom; energy above the lowest structure with this stoichiometry = 83 meV/atom; crystal system = orthorhombic
1.0
2.058 -6.638 0.000
2.058 6.638 0.000
0.000 0.000 3.995
Li V O F
4 2 4 2
direct
0.000 0.000 0.000 Li
0.162 0.838 0.500 Li
0.500 0.500 0.500 Li
0.838 0.162 0.500 Li
0.332 0.668 0.000 V
0.668 0.332 0.000 V
0.175 0.825 0.000 O
0.344 0.656 0.500 O
0.656 0.344 0.500 O
0.825 0.175 0.000 O
0.000 0.000 0.500 F
0.500 0.500 0.000 F